# ZnSiPdRh

Crystalline ZnSiPdRh at its relaxed geometry (PBE, Alexandria via LeMat-Bulk).

a b c (Å): 4.260 4.260 4.260
angles (deg): 60.00 60.00 60.00
Fractional positions:
Pd 0.500 0.500 0.500
Rh 0.000 0.000 0.000
Zn 0.250 0.250 0.250
Si 0.750 0.750 0.750

## Properties
total moment = 0.0 μB/f.u.
formation energy (no corrections) = -0.51 eV per atom
calculated total energy = -5.322 eV per atom
calculated volume = 54.7 Å³ per cell